Density functional theory data (PBEsol) for an optimized crystal structure of CaNiMo2.

Geometry as extended XYZ:
```
4
Lattice="-3.476 -0.981 0.719 -0.562 -0.634 -3.584 1.418 -4.589 0.590" Properties=species:S:1:pos:R:3 pbc="T T T"
Ni -1.310 -3.102 -1.138
Mo -0.281 -0.317 -1.792
Mo -1.738 -0.491 0.359
Ca 0.709 -2.294 0.295
```

As for the symmetry: No. 123.


Density functional theory data (PBEsol) for an optimized crystal structure of SiAsIr2Ru.

Geometry as extended XYZ:
```
5
Lattice="-4.292 -1.297 -0.525 1.027 -1.674 -4.258 1.029 -4.167 1.886" Properties=species:S:1:pos:R:3 pbc="T T T"
As -2.146 -0.649 -0.263
Ir 0.514 -0.837 -2.129
Ir 0.514 -2.084 0.943
Si -1.118 -3.569 -1.448
Ru 0.000 0.000 0.000
```

As for the symmetry: No. 123. The formation energy from raw total energies comes out at 1.555 eV/atom.


Density functional theory data (PBEsol) for an optimized crystal structure of YTl3.

Geometry as extended XYZ:
```
4
Lattice="3.427 0.000 -0.027 0.000 5.372 0.000 -0.342 0.000 5.802" Properties=species:S:1:pos:R:3 pbc="T T T"
Y 1.713 2.686 -0.014
Tl 0.628 0.000 1.438
Tl -0.171 2.686 2.901
Tl 2.456 0.000 4.336
```

As for the symmetry: No. 10.


Density functional theory data (PBEsol) for an optimized crystal structure of SrPd3Cl.

Geometry as extended XYZ:
```
5
Lattice="5.099 0.000 0.000 0.000 5.099 0.000 0.000 0.000 5.099" Properties=species:S:1:pos:R:3 pbc="T T T"
Cl 2.550 2.550 2.550
Pd 0.000 0.000 2.550
Pd 2.550 0.000 0.000
Pd 0.000 2.550 0.000
Sr 0.000 0.000 0.000
```

As for the symmetry: No. 221. The formation energy from raw total energies comes out at 1.044 eV/atom.


Density functional theory data (PBEsol) for an optimized crystal structure of PuO2.

Geometry as extended XYZ:
```
3
Lattice="3.752 0.000 0.000 1.876 3.250 0.000 1.876 1.083 3.064" Properties=species:S:1:pos:R:3 pbc="T T T"
Pu 0.000 0.000 0.000
O 1.876 1.083 0.766
O 5.628 3.250 2.298
```

As for the symmetry: No. 225. The formation energy from raw total energies comes out at -3.064 eV/atom.


Density functional theory data (PBEsol) for an optimized crystal structure of NbFePd2.

Geometry as extended XYZ:
```
4
Lattice="-2.224 -3.640 -1.014 1.651 -3.933 1.017 -1.845 -2.398 3.174" Properties=species:S:1:pos:R:3 pbc="T T T"
Pd -1.813 -7.478 2.382
Pd -0.604 -2.493 0.794
Fe 0.000 0.000 0.000
Nb -1.209 -4.986 1.588
```

As for the symmetry: No. 225.


Density functional theory data (PBEsol) for an optimized crystal structure of CaTaIn2.

Geometry as extended XYZ:
```
4
Lattice="3.064 0.000 0.000 0.000 3.064 0.000 0.000 0.000 9.615" Properties=species:S:1:pos:R:3 pbc="T T T"
In 1.532 1.532 2.544
In 0.000 0.000 0.112
Ta 0.000 0.000 4.634
Ca 1.532 1.532 7.132
```

As for the symmetry: No. 99.


Density functional theory data (PBEsol) for an optimized crystal structure of CsHfCoSb2.

Geometry as extended XYZ:
```
5
Lattice="-0.165 -4.874 0.258 2.941 -0.320 -4.171 4.180 0.014 2.946" Properties=species:S:1:pos:R:3 pbc="T T T"
Hf -0.083 -2.437 0.129
Co 0.000 0.000 0.000
Cs 3.478 -2.590 -0.484
Sb 2.090 0.007 1.473
Sb 1.470 -0.160 -2.086
```

As for the symmetry: No. 123. The formation energy from raw total energies comes out at 0.392 eV/atom.


Density functional theory data (PBEsol) for an optimized crystal structure of CeCd2.

Geometry as extended XYZ:
```
3
Lattice="-2.831 0.449 1.307 -1.791 -3.995 -2.509 2.021 -0.599 4.585" Properties=species:S:1:pos:R:3 pbc="T T T"
Cd -0.520 -2.863 -0.145
Cd 0.750 -1.731 2.220
Ce -1.416 0.224 0.653
```

As for the symmetry: No. 191.


Density functional theory data (PBEsol) for an optimized crystal structure of Na3Sb.

Geometry as extended XYZ:
```
8
Lattice="5.315 0.000 0.000 -2.658 4.603 0.000 0.000 0.000 9.460" Properties=species:S:1:pos:R:3 pbc="T T T"
Na 0.000 0.000 2.365
Na 2.658 1.534 3.950
Na 2.658 1.534 0.780
Na 0.000 0.000 7.095
Na 0.000 3.069 8.680
Na 0.000 3.069 5.510
Sb 0.000 3.069 2.365
Sb 2.658 1.534 7.095
```

As for the symmetry: No. 194. The formation energy from raw total energies comes out at -0.429 eV/atom.


Density functional theory data (PBEsol) for an optimized crystal structure of AsIrPt2.

Geometry as extended XYZ:
```
4
Lattice="-2.250 1.026 -1.887 -1.659 -3.380 0.141 -1.657 1.026 5.098" Properties=species:S:1:pos:R:3 pbc="T T T"
As -1.445 0.785 1.829
Pt -0.153 0.071 -0.099
Pt -2.868 -0.686 0.163
Ir -3.054 -0.473 3.065
```

As for the symmetry: No. 38.


Density functional theory data (PBEsol) for an optimized crystal structure of KBa2Ir.

Geometry as extended XYZ:
```
4
Lattice="-3.235 -2.808 1.390 -0.032 -1.475 4.255 -7.225 7.173 4.737" Properties=species:S:1:pos:R:3 pbc="T T T"
Ba -3.611 -2.337 5.125
Ba -6.880 5.227 5.258
K -3.613 3.587 2.369
Ir -1.633 -2.142 2.823
```

As for the symmetry: No. 12.


Density functional theory data (PBEsol) for an optimized crystal structure of RhIN2O.

Geometry as extended XYZ:
```
5
Lattice="3.809 0.000 0.000 0.000 3.809 0.000 0.000 0.000 4.231" Properties=species:S:1:pos:R:3 pbc="T T T"
Rh 1.905 1.905 2.116
I 0.000 0.000 2.116
O 0.000 0.000 0.000
N 0.000 1.905 0.000
N 1.905 0.000 0.000
```

As for the symmetry: No. 123. The formation energy from raw total energies comes out at 2.155 eV/atom.


Density functional theory data (PBEsol) for an optimized crystal structure of Cr2CuOs.

Geometry as extended XYZ:
```
4
Lattice="2.907 0.000 0.000 0.000 2.907 0.000 0.000 0.000 5.735" Properties=species:S:1:pos:R:3 pbc="T T T"
Os 1.453 1.453 4.353
Cu 0.000 0.000 2.762
Cr 1.453 1.453 1.385
Cr 0.000 0.000 0.101
```

As for the symmetry: No. 99.


Density functional theory data (PBEsol) for an optimized crystal structure of K2Re2Sn.

Geometry as extended XYZ:
```
5
Lattice="-3.016 2.161 -1.551 -2.654 -2.603 1.535 2.494 4.354 6.428" Properties=species:S:1:pos:R:3 pbc="T T T"
Re -2.884 0.368 0.907
Re -0.292 3.543 5.505
K -1.497 0.765 3.977
K -1.679 3.147 2.434
Sn 0.000 0.000 0.000
```

As for the symmetry: No. 139.


Density functional theory data (PBEsol) for an optimized crystal structure of CrInCl2.

Geometry as extended XYZ:
```
4
Lattice="3.401 0.000 0.000 0.000 5.187 -0.032 0.000 -2.559 5.268" Properties=species:S:1:pos:R:3 pbc="T T T"
In 1.700 -0.301 3.520
Cl 1.700 2.278 1.395
Cl 0.000 2.304 5.193
Cr 0.000 2.290 2.982
```

As for the symmetry: No. 38. The formation energy from raw total energies comes out at -0.349 eV/atom.


Density functional theory data (PBEsol) for an optimized crystal structure of Mg2Hg2Pb.

Geometry as extended XYZ:
```
10
Lattice="-1.509 2.470 1.751 -7.220 -2.051 -3.329 -1.369 -5.222 6.187" Properties=species:S:1:pos:R:3 pbc="T T T"
Mg -6.721 -4.478 3.791
Mg -3.377 -0.326 0.817
Mg -2.889 -2.604 4.451
Mg -7.210 -2.200 0.157
Hg -4.717 -1.963 -1.297
Hg -1.438 -2.203 1.867
Hg -7.151 -5.071 0.990
Hg -3.872 -5.311 4.154
Pb 0.000 0.000 0.000
Pb -4.294 -3.637 1.429
```

As for the symmetry: No. 127.


Density functional theory data (PBEsol) for an optimized crystal structure of AlReSb2.

Geometry as extended XYZ:
```
8
Lattice="-4.198 0.372 -4.329 3.528 -3.222 -3.698 -2.260 -3.789 6.081" Properties=species:S:1:pos:R:3 pbc="T T T"
Al -3.396 -2.421 -1.131
Al -0.335 -1.425 -4.013
Sb 1.041 -3.635 -3.243
Sb -1.857 -3.127 3.640
Sb -2.036 -4.695 -0.538
Sb -3.008 -1.822 -3.750
Re 0.000 0.000 0.000
Re 0.466 -4.218 -0.815
```

As for the symmetry: No. 122. The formation energy from raw total energies comes out at 0.785 eV/atom.


Density functional theory data (PBEsol) for an optimized crystal structure of HgPt2Cl.

Geometry as extended XYZ:
```
4
Lattice="4.591 0.000 0.000 2.296 3.976 0.000 2.296 1.325 3.749" Properties=species:S:1:pos:R:3 pbc="T T T"
Pt 6.887 3.976 2.812
Pt 0.000 0.000 0.000
Cl 4.591 2.651 1.874
Hg 2.296 1.325 0.937
```

As for the symmetry: No. 216. The formation energy from raw total energies comes out at 0.467 eV/atom.


Density functional theory data (PBEsol) for an optimized crystal structure of Zr2AlAu.

Geometry as extended XYZ:
```
4
Lattice="3.220 0.000 0.000 0.000 4.861 0.000 -1.610 -2.431 4.861" Properties=species:S:1:pos:R:3 pbc="T T T"
Au 0.000 2.431 2.266
Zr 1.610 2.431 4.750
Zr 1.610 0.000 2.476
Al 1.610 2.431 0.229
```

As for the symmetry: No. 44.


| no. | total energy (eV per atom) |
| --- | --- |
| 1 | -7.334 |
| 2 | -6.580 |
| 3 | -3.830 |
| 4 | -3.301 |
| 5 | -11.615 |
| 6 | -7.876 |
| 7 | -4.941 |
| 8 | -5.267 |
| 9 | -3.235 |
| 10 | -2.618 |
| 11 | -7.145 |
| 12 | -3.791 |
| 13 | -4.287 |
| 14 | -8.969 |
| 15 | -4.950 |
| 16 | -4.659 |
| 17 | -1.905 |
| 18 | -5.850 |
| 19 | -3.659 |
| 20 | -7.019 |